Compound: AcAgPO
Source: OQMD via LeMat-Bulk
Functional: GGA-PBE
Structure: relaxed

Output
The calculation puts the energy above the most stable polymorph in this dataset at 528 meV/atom. As for the spin magnetization: 0.00 μB/cell. As for the symmetry: P4/nmm. The calculation puts the calculated total energy at -5.413 eV per atom.

Cell lengths 6.317, 6.317, 4.674 Å; angles 90.00, 90.00, 90.00 degrees
Atoms (fractional coordinates):
Ac (0.750, 0.250, 0.500)
Ac (0.250, 0.750, 0.500)
Ag (0.250, 0.250, 0.003)
Ag (0.750, 0.750, 0.997)
O (0.750, 0.250, 0.000)
O (0.250, 0.750, 0.000)
P (0.750, 0.750, 0.497)
P (0.250, 0.250, 0.503)